[1]
This record from Alexandria describes an optimized crystal structure of NaMn2GaSe4. The functional is GGA-PBE.

The structure in POSCAR format:
```
NaMn2GaSe4
1.0
8.791 0.000 0.000
0.000 7.131 0.000
0.000 0.000 6.842
Na Mn Ga Se
2 4 2 8
direct
0.000 0.161 0.000
0.500 0.839 0.500
0.246 0.330 0.505
0.254 0.670 0.005
0.746 0.670 0.005
0.754 0.330 0.505
0.000 0.816 0.508
0.500 0.184 0.008
0.000 0.151 0.422
0.000 0.781 0.864
0.226 0.663 0.377
0.274 0.337 0.877
0.500 0.219 0.364
0.500 0.849 0.922
0.726 0.337 0.877
0.774 0.663 0.377
```

Summary:
Uncorrected formation energy = -0.624 eV per atom
Symmetry = No. 31


[2]
This record from Alexandria describes an optimized crystal structure of NaMnGaSn2. The functional is GGA-PBE.

The structure in POSCAR format:
```
NaMnGaSn2
1.0
4.996 0.000 0.000
0.000 4.996 0.000
0.000 0.000 4.771
Na Mn Ga Sn
1 1 1 2
direct
0.000 0.000 0.000
0.500 0.500 0.500
0.500 0.500 0.000
0.000 0.500 0.500
0.500 0.000 0.500
```

Summary:
E_form = 0.02 eV/atom
Symmetry = No. 123
Density of states at the Fermi level = 2.73 states/eV/f.u.


[3]
This record from Alexandria describes an optimized crystal structure of Na2MnGaTe4. The functional is GGA-PBE.

The structure in POSCAR format:
```
Na2MnGaTe4
1.0
5.340 -4.511 0.000
5.340 4.511 0.000
-5.340 0.000 5.345
Na Mn Ga Te
2 1 1 4
direct
0.000 0.000 0.000
0.750 0.250 0.500
0.501 0.499 0.000
0.251 0.749 0.500
0.206 0.413 0.549
0.344 0.134 0.930
0.587 0.794 0.451
0.866 0.656 0.070
```

Summary:
Uncorrected formation energy = -0.476 eV per atom
Symmetry = No. 5


[4]
This record from Alexandria describes an optimized crystal structure of NaMn2ZnGa. The functional is GGA-PBE.

The structure in POSCAR format:
```
NaMn2ZnGa
1.0
5.542 0.000 0.000
0.000 5.542 0.000
0.000 0.000 5.625
Na Mn Zn Ga
1 2 1 1
direct
0.000 0.000 0.000
0.000 0.500 0.500
0.500 0.000 0.500
0.500 0.500 0.000
0.500 0.500 0.500
```

Summary:
E_form = 0.92 eV/atom
Symmetry = No. 123
Density of states at the Fermi level = 4.25 states/eV/f.u.


no.,magnetization (μB/f.u.)
1,10.0
2,0.9
3,4.0
4,8.6